The following is a GGA-PBEsol calculation of crystalline BaSrPb2 at its relaxed geometry, from the Alexandria database.

Results
Space group = Cmmm (65)
Energy = -14.1 eV per formula unit
Magnetic moment = 0.00 μB/f.u.

abc: 3.7043 6.1918 6.1918
angles: 104.52 90.00 90.00
With the nearest neighbours (Å) after each atom.
Positions (direct):
Pb 0.0000 0.5000 0.0000  4 Sr 3.61, 4 Ba 3.61, 4 Pb 3.70-3.79
Pb 0.0000 0.0000 0.5000  4 Ba 3.61, 4 Sr 3.61, 4 Pb 3.70-3.79
Sr 0.5000 0.0000 0.0000  8 Pb 3.61, 2 Sr 3.70, 2 Ba 3.79
Ba 0.5000 0.5000 0.5000  8 Pb 3.61, 2 Ba 3.70, 2 Sr 3.79

=====

The following is a GGA-PBEsol calculation of crystalline LaSc2 at its relaxed geometry, from the Alexandria database.

Results
Space group = P-6m2 (187)
ΔE to the lowest computed polymorph = 23 meV per atom
Magnetic moment = 0.00 μB/f.u.

abc: 3.3891 3.3891 16.1306
angles: 90.00 90.00 120.00
With the nearest neighbours (Å) after each atom.
Positions (direct):
Sc 0.0000 0.0000 0.5000  12 Sc 3.14-3.39
Sc 0.3333 0.6667 0.0000  6 Sc 3.39, 6 La 3.39
Sc 0.3333 0.6667 0.6524  9 Sc 3.14-3.39, 3 La 3.44
Sc 0.3333 0.6667 0.3476  9 Sc 3.14-3.39, 3 La 3.44
La 0.0000 0.0000 0.1719  6 La 3.39, 6 Sc 3.39-3.44
La 0.0000 0.0000 0.8281  6 La 3.39, 6 Sc 3.39-3.44

=====

The following is a GGA-PBEsol calculation of crystalline BaAgBi3 at its relaxed geometry, from the Alexandria database.

Results
Space group = Pm-3m (221)
Energy = -19.0 eV per formula unit
Magnetic moment = 0.00 μB/f.u.

abc: 5.5448 5.5448 5.5448
angles: 90.00 90.00 90.00
With the nearest neighbours (Å) after each atom.
Positions (direct):
Bi 0.0000 0.5000 0.0000  2 Ag 2.77
Bi 0.0000 0.0000 0.5000  2 Ag 2.77
Bi 0.5000 0.0000 0.0000  2 Ag 2.77
Ag 0.0000 0.0000 0.0000  6 Bi 2.77
Ba 0.5000 0.5000 0.5000  12 Bi 3.92

=====

The following is a GGA-PBEsol calculation of crystalline LiAg2Rh at its relaxed geometry, from the Alexandria database.

Results
Space group = P2/m (10)
Energy = -16.5 eV per formula unit
Magnetic moment = 0.46 μB/f.u.

abc: 2.6641 4.2153 5.4063
angles: 90.00 101.08 90.00
With the nearest neighbours (Å) after each atom.
Positions (direct):
Ag 0.0809 0.0000 0.7545  2 Li 2.62, 4 Ag 2.66-2.77, 4 Rh 2.81-2.86
Ag 0.9191 0.0000 0.2455  2 Li 2.62, 4 Ag 2.66-2.77, 4 Rh 2.81-2.86
Li 0.5000 0.5000 0.0000  4 Ag 2.62, 2 Li 2.66, 2 Rh 2.70
Rh 0.5000 0.5000 0.5000  2 Rh 2.66, 2 Li 2.70, 8 Ag 2.81-2.86

=====

The following is a GGA-PBEsol calculation of crystalline NiPt2Br at its relaxed geometry, from the Alexandria database.

Results
Formation energy (no corrections) = 339 meV per atom
Space group = Cm (8)
ΔE to the lowest computed polymorph = 0 meV per atom
Magnetic moment = 0.02 μB/f.u.

abc: 2.8004 4.4831 6.2393
angles: 98.34 90.00 108.20
With the nearest neighbours (Å) after each atom.
Positions (direct):
Br 0.3856 0.7712 0.4719  2 Ni 2.37, 1 Pt 2.51
Ni 0.7810 0.5620 0.1783  2 Br 2.37, 5 Pt 2.55-2.58
Pt 0.0418 0.0836 0.0156  3 Ni 2.55-2.58, 5 Pt 2.56-2.80
Pt 0.2916 0.5832 0.8342  1 Br 2.51, 5 Pt 2.56-2.80, 2 Ni 2.58

=====

The following is a GGA-PBEsol calculation of crystalline LiHAu2 at its relaxed geometry, from the Alexandria database.

Results
Space group = Fm-3m (225)
Energy = -12.2 eV per formula unit
Magnetic moment = 0.00 μB/f.u.

abc: 4.1453 4.1453 4.1453
angles: 60.00 60.00 60.00
With the nearest neighbours (Å) after each atom.
Positions (direct):
H 0.0000 0.0000 0.0000  8 Au 2.54
Au 0.2500 0.2500 0.2500  4 Li 2.54, 4 H 2.54
Au 0.7500 0.7500 0.7500  4 Li 2.54, 4 H 2.54
Li 0.5000 0.5000 0.5000  8 Au 2.54

=====

The following is a GGA-PBEsol calculation of crystalline Zn3TeRu at its relaxed geometry, from the Alexandria database.

Results
Formation energy (no corrections) = 679 meV per atom
Space group = Pm-3m (221)
ΔE to the lowest computed polymorph = 0 meV per atom
Magnetic moment = 0.54 μB/f.u.

abc: 4.7222 4.7222 4.7222
angles: 90.00 90.00 90.00
With the nearest neighbours (Å) after each atom.
Positions (direct):
Ru 0.0000 0.0000 0.0000  6 Zn 2.36
Zn 0.0000 0.5000 0.0000  2 Ru 2.36
Zn 0.0000 0.0000 0.5000  2 Ru 2.36
Zn 0.5000 0.0000 0.0000  2 Ru 2.36
Te 0.5000 0.5000 0.5000  12 Zn 3.34

=====

The following is a GGA-PBEsol calculation of crystalline CaIr2Ru at its relaxed geometry, from the Alexandria database.

Results
Space group = Cmmm (65)
ΔE to the lowest computed polymorph = 0 meV per atom
Magnetic moment = 0.00 μB/f.u.

abc: 2.7369 4.8769 4.8769
angles: 109.84 90.00 90.00
With the nearest neighbours (Å) after each atom.
Positions (direct):
Ru 0.5000 0.0000 0.0000  2 Ru 2.74, 8 Ir 2.80, 2 Ca 2.80
Ca 0.5000 0.5000 0.5000  2 Ca 2.74, 8 Ir 2.80, 2 Ru 2.80
Ir 0.0000 0.5000 0.0000  4 Ir 2.74-2.80, 4 Ru 2.80, 4 Ca 2.80
Ir 0.0000 0.0000 0.5000  4 Ir 2.74-2.80, 4 Ca 2.80, 4 Ru 2.80

=====

The following is a GGA-PBEsol calculation of crystalline RbCuPdF5 at its relaxed geometry, from the Alexandria database.

Results
Formation energy (no corrections) = -1763 meV per atom
Space group = Imma (74)
Magnetic moment = 0.72 μB/f.u.

abc: 5.8943 7.4526 10.8684
angles: 90.00 90.00 90.00
With the nearest neighbours (Å) after each atom.
Positions (direct):
Rb 0.0000 0.2500 0.9110  10 F 2.79-3.06
Rb 0.5000 0.7500 0.4110  10 F 2.79-3.06
Rb 0.0000 0.7500 0.0890  10 F 2.79-3.06
Rb 0.5000 0.2500 0.5890  10 F 2.79-3.06
Cu 0.5000 0.0000 0.0000  6 F 1.97-2.03
Cu 0.0000 0.0000 0.5000  6 F 1.97-2.03
Cu 0.5000 0.5000 0.0000  6 F 1.97-2.03
Cu 0.0000 0.5000 0.5000  6 F 1.97-2.03
Pd 0.2498 0.7500 0.7499  4 F 1.97
Pd 0.7498 0.7500 0.7501  4 F 1.97
Pd 0.2502 0.2500 0.2499  4 F 1.97
Pd 0.7502 0.2500 0.2501  4 F 1.97
F 0.2486 0.5636 0.6217  1 Pd 1.97, 1 Cu 2.03
F 0.7512 0.9363 0.6220  1 Pd 1.97, 1 Cu 2.03
F 0.7514 0.4364 0.3783  1 Pd 1.97, 1 Cu 2.03
F 0.2512 0.5637 0.8780  1 Pd 1.97, 1 Cu 2.03
F 0.7488 0.0637 0.1220  1 Pd 1.97, 1 Cu 2.03
F 0.9999 0.7500 0.4397  2 Cu 1.97
F 0.2488 0.4363 0.3780  1 Pd 1.97, 1 Cu 2.03
F 0.7486 0.5636 0.8783  1 Pd 1.97, 1 Cu 2.03
F 0.0001 0.2500 0.5603  2 Cu 1.97
F 0.2486 0.9364 0.6217  1 Pd 1.97, 1 Cu 2.03
F 0.7488 0.4363 0.1220  1 Pd 1.97, 1 Cu 2.03
F 0.7514 0.0636 0.3783  1 Pd 1.97, 1 Cu 2.03
F 0.7486 0.9364 0.8783  1 Pd 1.97, 1 Cu 2.03
F 0.2514 0.4364 0.1217  1 Pd 1.97, 1 Cu 2.03
F 0.4999 0.7500 0.0603  2 Cu 1.97
F 0.2488 0.0637 0.3780  1 Pd 1.97, 1 Cu 2.03
F 0.2514 0.0636 0.1217  1 Pd 1.97, 1 Cu 2.03
F 0.2512 0.9363 0.8780  1 Pd 1.97, 1 Cu 2.03
F 0.5001 0.2500 0.9397  2 Cu 1.97
F 0.7512 0.5637 0.6220  1 Pd 1.97, 1 Cu 2.03

=====

The following is a GGA-PBEsol calculation of crystalline UFe2Si2 at its relaxed geometry, from the Alexandria database.

Results
Formation energy (no corrections) = -553 meV per atom
Space group = I4/mmm (139)
Magnetic moment = 0.01 μB/f.u.

abc: 3.8995 3.8995 5.3353
angles: 111.44 111.44 90.00
With the nearest neighbours (Å) after each atom.
Positions (direct):
Si 0.3700 0.3700 0.7401  4 Fe 2.24, 1 Si 2.37
Si 0.6300 0.6300 0.2599  4 Fe 2.24, 1 Si 2.37
U 0.0000 0.0000 0.0000  8 Si 3.00, 8 Fe 3.00
Fe 0.7500 0.2500 0.5000  4 Si 2.24
Fe 0.2500 0.7500 0.5000  4 Si 2.24

=====

The following is a GGA-PBEsol calculation of crystalline TeRuN2O at its relaxed geometry, from the Alexandria database.

Results
Formation energy (no corrections) = 1416 meV per atom
Space group = P4/mmm (123)
Magnetic moment = 3.72 μB/f.u.

abc: 3.8756 3.9895 3.9895
angles: 90.00 90.00 90.00
With the nearest neighbours (Å) after each atom.
Positions (direct):
Ru 0.5000 0.5000 0.5000  8 N 2.78, 4 O 2.82
Te 0.0000 0.0000 0.0000  2 O 1.94, 4 N 1.99
O 0.5000 0.0000 0.0000  2 Te 1.94
N 0.0000 0.0000 0.5000  2 Te 1.99
N 0.0000 0.5000 0.0000  2 Te 1.99

=====

The following is a GGA-PBEsol calculation of crystalline KCrOs2 at its relaxed geometry, from the Alexandria database.

Results
Space group = Cm (8)
ΔE to the lowest computed polymorph = 294 meV per atom
Magnetic moment = 3.34 μB/f.u.

abc: 2.7567 4.6490 6.8760
angles: 95.91 90.00 107.25
With the nearest neighbours (Å) after each atom.
Positions (direct):
Cr 0.5271 0.0541 0.6007  4 Os 2.44-2.55
K 0.7493 0.4987 0.2462  2 K 2.76
Os 0.9800 0.9600 0.8811  2 Cr 2.44, 3 Os 2.53-2.56
Os 0.2436 0.4872 0.7720  5 Os 2.53-2.76, 2 Cr 2.55

=====

The following is a GGA-PBEsol calculation of crystalline PbAuSe2 at its relaxed geometry, from the Alexandria database.

Results
Formation energy (no corrections) = -104 meV per atom
Space group = P4/mmm (123)
Magnetic moment = 0.00 μB/f.u.

abc: 4.0656 4.0656 5.6788
angles: 90.00 90.00 90.00
With the nearest neighbours (Å) after each atom.
Positions (direct):
Au 0.0000 0.0000 0.0000  6 Se 2.84-2.87
Pb 0.5000 0.5000 0.5000  6 Se 2.84-2.87
Se 0.0000 0.0000 0.5000  2 Au 2.84, 4 Pb 2.87
Se 0.5000 0.5000 0.0000  2 Pb 2.84, 4 Au 2.87

=====

The following is a GGA-PBEsol calculation of crystalline NiPW2 at its relaxed geometry, from the Alexandria database.

Results
Space group = P4mm (99)
Energy = -39.6 eV per formula unit
Magnetic moment = 0.00 μB/f.u.

abc: 3.1711 3.1711 5.3439
angles: 90.00 90.00 90.00
With the nearest neighbours (Å) after each atom.
Positions (direct):
Ni 0.0000 0.0000 0.4909  6 W 2.50-2.75, 4 P 2.63
P 0.5000 0.5000 0.7480  5 W 2.48-2.55, 4 Ni 2.63
W 0.0000 0.0000 0.9769  4 P 2.55, 2 Ni 2.60-2.75, 4 W 2.78
W 0.5000 0.5000 0.2842  1 P 2.48, 4 Ni 2.50

=====

The following is a GGA-PBEsol calculation of crystalline HfTlNF2 at its relaxed geometry, from the Alexandria database.

Results
Formation energy (no corrections) = 5 meV per atom
Space group = P4/mmm (123)
Magnetic moment = 1.48 μB/f.u.

abc: 4.2276 4.3693 4.3693
angles: 90.00 90.00 90.00
With the nearest neighbours (Å) after each atom.
Positions (direct):
Tl 0.0000 0.0000 0.0000  2 N 2.11, 4 F 2.18
N 0.5000 0.0000 0.0000  2 Tl 2.11
Hf 0.5000 0.5000 0.5000  8 F 3.04, 4 N 3.09
F 0.0000 0.0000 0.5000  2 Tl 2.18
F 0.0000 0.5000 0.0000  2 Tl 2.18

=====

The following is a GGA-PBEsol calculation of crystalline AgMoCl3 at its relaxed geometry, from the Alexandria database.

Results
Formation energy (no corrections) = -32 meV per atom
Space group = Pm-3m (221)
Magnetic moment = 2.70 μB/f.u.

abc: 4.8032 4.8032 4.8032
angles: 90.00 90.00 90.00
With the nearest neighbours (Å) after each atom.
Positions (direct):
Mo 0.0000 0.0000 0.0000  6 Cl 2.40
Ag 0.5000 0.5000 0.5000  12 Cl 3.40
Cl 0.0000 0.5000 0.0000  2 Mo 2.40
Cl 0.0000 0.0000 0.5000  2 Mo 2.40
Cl 0.5000 0.0000 0.0000  2 Mo 2.40

=====

The following is a GGA-PBEsol calculation of crystalline Be2IrRu at its relaxed geometry, from the Alexandria database.

Results
Space group = P4/mmm (123)
Energy = -29.4 eV per formula unit
Magnetic moment = 0.00 μB/f.u.

abc: 2.7602 3.9177 3.9177
angles: 90.00 90.00 90.00
With the nearest neighbours (Å) after each atom.
Positions (direct):
Ru 0.5000 0.0000 0.0000  8 Be 2.40
Ir 0.5000 0.5000 0.5000  8 Be 2.40
Be 0.0000 0.0000 0.5000  4 Ru 2.40, 4 Ir 2.40
Be 0.0000 0.5000 0.0000  4 Ru 2.40, 4 Ir 2.40

=====

The following is a GGA-PBEsol calculation of crystalline SrYMg2 at its relaxed geometry, from the Alexandria database.

Results
Space group = Pmm2 (25)
ΔE to the lowest computed polymorph = 0 meV per atom
Magnetic moment = 0.00 μB/f.u.

abc: 3.8314 5.6203 5.6206
angles: 90.00 90.00 90.00
With the nearest neighbours (Å) after each atom.
Positions (direct):
Y 0.5000 0.5000 0.1267  8 Mg 3.39-3.41
Sr 0.5000 0.0000 0.6229  8 Mg 3.40
Mg 0.0000 0.0000 0.1224  4 Sr 3.40, 4 Y 3.40
Mg 0.0000 0.5000 0.6280  4 Y 3.39-3.41, 4 Sr 3.40

=====

The following is a GGA-PBEsol calculation of crystalline BeCl2 at its relaxed geometry, from the Alexandria database.

Results
Formation energy (no corrections) = -1410 meV per atom
Space group = Ibam (72)
ΔE to the lowest computed polymorph = 5 meV per atom
Magnetic moment = 0.00 μB/f.u.

abc: 5.1973 5.5636 6.4651
angles: 115.49 113.70 90.00
With the nearest neighbours (Å) after each atom.
Positions (direct):
Be 0.2500 0.0000 0.0000  4 Cl 2.02
Be 0.7500 0.0000 0.0000  4 Cl 2.02
Cl 0.3950 0.0918 0.7899  2 Be 2.02
Cl 0.6050 0.9082 0.2101  2 Be 2.02
Cl 0.8950 0.6981 0.7899  2 Be 2.02
Cl 0.1050 0.3019 0.2101  2 Be 2.02

=====

The following is a GGA-PBEsol calculation of crystalline BiSeBr2N at its relaxed geometry, from the Alexandria database.

Results
Formation energy (no corrections) = 622 meV per atom
Space group = P4/mmm (123)
ΔE to the lowest computed polymorph = 0 meV per atom
Magnetic moment = 0.00 μB/f.u.

abc: 4.5350 4.5350 4.8847
angles: 90.00 90.00 90.00
With the nearest neighbours (Å) after each atom.
Positions (direct):
Se 0.0000 0.0000 0.5000  2 N 2.44
Bi 0.5000 0.5000 0.5000  4 Se 3.21, 8 Br 3.33
Br 0.0000 0.5000 0.0000  2 N 2.27
Br 0.5000 0.0000 0.0000  2 N 2.27
N 0.0000 0.0000 0.0000  4 Br 2.27, 2 Se 2.44